Record 1
The following is a DFT calculation (PBE) of a relaxed structure of NaEuAs.

Computed properties:
ρ = 5.2 g/cm³
energy of formation = -0.579 eV per atom
M_tot = 14.0 μB per cell

a b c (Å): 4.1936 4.1936 8.9905
angles (deg): 90.00 90.00 90.00
With the nearest neighbours (Å) after each atom.
Space group I4mm (No. 107)
Inequivalent atoms, fractional coordinates:
Na (0.0000, 0.0000, 0.0000) x2  1 Eu 2.86, 1 As 2.93
Eu (0.0000, 0.0000, 0.3176) x2  1 Na 2.86
As (0.0000, 0.0000, 0.6744) x2  1 Na 2.93, 5 Eu 3.21-3.23

Record 2
The following is a DFT calculation (PBE) of a relaxed structure of LaInSe3.

Computed properties:
E above lowest polymorph = 0.000 eV per atom
ρ = 6.0 g/cm³
uncorrected formation energy = -120.3 kJ/mol of atoms
M_tot = 0.0 μB per cell

a b c (Å): 12.4760 4.2163 10.3137
angles (deg): 90.00 90.00 90.00
With the nearest neighbours (Å) after each atom.
Space group Pnma (No. 62)
Inequivalent atoms, fractional coordinates:
La (0.1942, 0.2500, 0.0103) x4  8 Se 3.05-3.31
In (0.0006, 0.7500, 0.3071) x4  4 Se 2.60-2.82
Se (0.0499, 0.7500, 0.8642) x4  2 In 2.82, 2 La 3.15
Se (0.1224, 0.2500, 0.4895) x4  1 In 2.60
Se (0.1977, 0.7500, 0.2242) x4  1 In 2.60

> Which value of ρ does entry 2 give?

6.0 g/cm³

Please write out number 2 again, unchanged.
The following is a DFT calculation (PBE) of a relaxed structure of LaInSe3.

Computed properties:
E above lowest polymorph = 0.000 eV per atom
ρ = 6.0 g/cm³
uncorrected formation energy = -120.3 kJ/mol of atoms
M_tot = 0.0 μB per cell

a b c (Å): 12.4760 4.2163 10.3137
angles (deg): 90.00 90.00 90.00
With the nearest neighbours (Å) after each atom.
Space group Pnma (No. 62)
Inequivalent atoms, fractional coordinates:
La (0.1942, 0.2500, 0.0103) x4  8 Se 3.05-3.31
In (0.0006, 0.7500, 0.3071) x4  4 Se 2.60-2.82
Se (0.0499, 0.7500, 0.8642) x4  2 In 2.82, 2 La 3.15
Se (0.1224, 0.2500, 0.4895) x4  1 In 2.60
Se (0.1977, 0.7500, 0.2242) x4  1 In 2.60